Crystalline BeGa2Au at its relaxed geometry. Source: Alexandria via LeMat-Bulk, functional PBE. Values from VASP.

Geometry as Quantum ESPRESSO input:
```
&SYSTEM
  ibrav = 0, nat = 8, ntyp = 3
/
ATOMIC_SPECIES
Be 9.01 Be.upf
Ga 69.72 Ga.upf
Au 196.97 Au.upf
CELL_PARAMETERS angstrom
-3.900 3.900 2.303
3.900 -3.900 2.303
3.900 3.900 -2.303
ATOMIC_POSITIONS angstrom
Be 0.000 0.000 0.000
Be 0.000 3.900 1.151
Ga 5.850 1.276 -0.576
Ga 1.276 1.950 0.576
Ga -1.950 2.625 1.727
Ga 2.625 1.950 2.878
Au 3.900 0.000 1.151
Au 0.000 0.000 2.303
```

Computed properties:
Energy relative to the elements: 0.183 eV per atom
Spin magnetization: 0.000 μB/atom
Total DFT energy (no corrections): -3.0818 eV/atom
Space-group type: I-42d
N(E_F): 0.41 states/eV per atom
Crystal system: tetragonal

***

Crystalline BeGaAu2 at its relaxed geometry. Source: Alexandria via LeMat-Bulk, functional PBE. Values from VASP.

Geometry as Quantum ESPRESSO input:
```
&SYSTEM
  ibrav = 0, nat = 4, ntyp = 3
/
ATOMIC_SPECIES
Be 9.01 Be.upf
Ga 69.72 Ga.upf
Au 196.97 Au.upf
CELL_PARAMETERS angstrom
2.020 1.166 4.669
-2.020 1.166 4.669
0.000 -2.333 4.669
ATOMIC_POSITIONS angstrom
Be 0.000 0.000 0.000
Ga 0.000 0.000 11.517
Au 0.000 0.000 5.468
Au 0.000 0.000 8.386
```

Computed properties:
Energy relative to the elements: -0.090 eV per atom
Spin magnetization: 0.000 μB/atom
Total DFT energy (no corrections): -3.4166 eV/atom
Space-group type: R3m
N(E_F): 0.33 states/eV per atom
Crystal system: trigonal

***

Crystalline BeGaAu3 at its relaxed geometry. Source: Alexandria via LeMat-Bulk, functional PBE. Values from VASP.

Geometry as Quantum ESPRESSO input:
```
&SYSTEM
  ibrav = 0, nat = 10, ntyp = 3
/
ATOMIC_SPECIES
Be 9.01 Be.upf
Ga 69.72 Ga.upf
Au 196.97 Au.upf
CELL_PARAMETERS angstrom
3.091 0.000 0.000
0.000 7.441 0.000
0.000 0.000 7.309
ATOMIC_POSITIONS angstrom
Be 0.773 1.860 0.162
Be 2.318 5.581 7.146
Ga 0.773 1.860 4.358
Ga 2.318 5.581 2.951
Au 0.773 4.139 1.200
Au 0.773 5.581 5.129
Au 0.773 7.023 1.200
Au 2.318 0.418 6.109
Au 2.318 1.860 2.179
Au 2.318 3.302 6.109
```

Computed properties:
Energy relative to the elements: -0.114 eV per atom
Spin magnetization: 0.000 μB/atom
Energy relative to the lowest polymorph listed for this composition: 0.00 eV per formula unit
Total DFT energy (no corrections): -3.4311 eV/atom
Space-group type: Pmmn
N(E_F): 0.19 states/eV per atom
Crystal system: orthorhombic

***

Crystalline BeGa2Au8 at its relaxed geometry. Source: Alexandria via LeMat-Bulk, functional PBE. Values from VASP.

Geometry as Quantum ESPRESSO input:
```
&SYSTEM
  ibrav = 0, nat = 11, ntyp = 3
/
ATOMIC_SPECIES
Be 9.01 Be.upf
Ga 69.72 Ga.upf
Au 196.97 Au.upf
CELL_PARAMETERS angstrom
7.248 -2.177 0.000
7.248 2.177 0.000
-2.224 0.000 5.991
ATOMIC_POSITIONS angstrom
Be 0.000 0.000 0.000
Ga 3.859 0.000 1.909
Ga 8.413 0.000 4.082
Au 0.459 0.000 2.549
Au 0.164 0.000 5.597
Au 2.878 0.000 4.431
Au 6.484 0.000 1.245
Au 5.789 0.000 4.746
Au 9.395 0.000 1.560
Au 12.108 0.000 0.393
Au 11.814 0.000 3.442
```

Computed properties:
Energy relative to the elements: -0.084 eV per atom
Spin magnetization: 0.000 μB/atom
Energy relative to the lowest polymorph listed for this composition: 0.00 eV per formula unit
Total DFT energy (no corrections): -3.3570 eV/atom
Space-group type: C2/m
N(E_F): 0.26 states/eV per atom
Crystal system: monoclinic

***

Crystalline Be4GaAu at its relaxed geometry. Source: Alexandria via LeMat-Bulk, functional PBE. Values from VASP.

Geometry as Quantum ESPRESSO input:
```
&SYSTEM
  ibrav = 0, nat = 6, ntyp = 3
/
ATOMIC_SPECIES
Be 9.01 Be.upf
Ga 69.72 Ga.upf
Au 196.97 Au.upf
CELL_PARAMETERS angstrom
0.000 3.211 3.211
3.211 0.000 3.211
3.211 3.211 0.000
ATOMIC_POSITIONS angstrom
Be 0.803 0.803 0.803
Be 2.408 2.408 0.803
Be 2.408 0.803 2.408
Be 0.803 2.408 2.408
Ga 3.211 3.211 3.211
Au 4.817 4.817 4.817
```

Computed properties:
Energy relative to the elements: 0.037 eV per atom
Spin magnetization: 0.000 μB/atom
Total DFT energy (no corrections): -3.4980 eV/atom
Space-group type: F-43m
N(E_F): 0.28 states/eV per atom
Crystal system: cubic

***

Crystalline Be2GaAu8 at its relaxed geometry. Source: Alexandria via LeMat-Bulk, functional PBE. Values from VASP.

Geometry as Quantum ESPRESSO input:
```
&SYSTEM
  ibrav = 0, nat = 11, ntyp = 3
/
ATOMIC_SPECIES
Be 9.01 Be.upf
Ga 69.72 Ga.upf
Au 196.97 Au.upf
CELL_PARAMETERS angstrom
4.467 0.000 0.000
-1.177 6.527 0.000
-1.630 -3.217 6.284
ATOMIC_POSITIONS angstrom
Be 0.000 0.000 0.000
Be -0.039 0.044 4.362
Ga 2.183 3.059 2.157
Au -0.009 2.429 0.705
Au -0.537 5.237 2.173
Au -0.029 2.465 3.630
Au 0.509 -2.124 5.736
Au 1.564 4.842 0.258
Au 2.916 0.510 2.186
Au 2.787 -1.704 4.079
Au 2.108 1.105 4.891
```

Computed properties:
Energy relative to the elements: -0.070 eV per atom
Spin magnetization: 0.000 μB/atom
Total DFT energy (no corrections): -3.4059 eV/atom
Space-group type: P1
N(E_F): 0.23 states/eV per atom
Crystal system: triclinic

***

Crystalline BeGa2Au at its relaxed geometry. Source: Alexandria via LeMat-Bulk, functional PBE. Values from VASP.

Geometry as Quantum ESPRESSO input:
```
&SYSTEM
  ibrav = 0, nat = 4, ntyp = 3
/
ATOMIC_SPECIES
Be 9.01 Be.upf
Ga 69.72 Ga.upf
Au 196.97 Au.upf
CELL_PARAMETERS angstrom
1.531 0.884 8.647
-1.531 0.884 8.647
0.000 -1.767 8.647
ATOMIC_POSITIONS angstrom
Be 0.000 0.000 0.000
Ga 0.000 0.000 2.241
Ga 0.000 0.000 23.702
Au 0.000 0.000 12.971
```

Computed properties:
Energy relative to the elements: 0.267 eV per atom
Spin magnetization: 0.000 μB/atom
Total DFT energy (no corrections): -2.9978 eV/atom
Space-group type: R-3m
N(E_F): 0.23 states/eV per atom
Crystal system: trigonal

***

Crystalline BeGaAu3 at its relaxed geometry. Source: Alexandria via LeMat-Bulk, functional PBE. Values from VASP.

Geometry as Quantum ESPRESSO input:
```
&SYSTEM
  ibrav = 0, nat = 5, ntyp = 3
/
ATOMIC_SPECIES
Be 9.01 Be.upf
Ga 69.72 Ga.upf
Au 196.97 Au.upf
CELL_PARAMETERS angstrom
4.528 0.000 0.000
0.000 4.528 0.000
0.000 0.000 4.528
ATOMIC_POSITIONS angstrom
Be 0.000 0.000 0.000
Ga 2.264 2.264 2.264
Au 0.000 0.000 2.264
Au 0.000 2.264 0.000
Au 2.264 0.000 0.000
```

Computed properties:
Energy relative to the elements: 0.127 eV per atom
Spin magnetization: 0.000 μB/atom
Energy relative to the lowest polymorph listed for this composition: 1.21 eV per formula unit
Total DFT energy (no corrections): -3.1897 eV/atom
Space-group type: Pm-3m
N(E_F): 0.28 states/eV per atom
Crystal system: cubic

***

Copy entry 4 word for word.
Crystalline BeGa2Au8 at its relaxed geometry. Source: Alexandria via LeMat-Bulk, functional PBE. Values from VASP.

Geometry as Quantum ESPRESSO input:
```
&SYSTEM
  ibrav = 0, nat = 11, ntyp = 3
/
ATOMIC_SPECIES
Be 9.01 Be.upf
Ga 69.72 Ga.upf
Au 196.97 Au.upf
CELL_PARAMETERS angstrom
7.248 -2.177 0.000
7.248 2.177 0.000
-2.224 0.000 5.991
ATOMIC_POSITIONS angstrom
Be 0.000 0.000 0.000
Ga 3.859 0.000 1.909
Ga 8.413 0.000 4.082
Au 0.459 0.000 2.549
Au 0.164 0.000 5.597
Au 2.878 0.000 4.431
Au 6.484 0.000 1.245
Au 5.789 0.000 4.746
Au 9.395 0.000 1.560
Au 12.108 0.000 0.393
Au 11.814 0.000 3.442
```

Computed properties:
Energy relative to the elements: -0.084 eV per atom
Spin magnetization: 0.000 μB/atom
Energy relative to the lowest polymorph listed for this composition: 0.00 eV per formula unit
Total DFT energy (no corrections): -3.3570 eV/atom
Space-group type: C2/m
N(E_F): 0.26 states/eV per atom
Crystal system: monoclinic